# ErBC

A geometry-optimized ErBC structure (PBE, the Alexandria database).

The structure belongs to space group P-6m2 (No. 187); the cell edges are 3.0141, 3.0141 and 3.9633 Å and the angles 90.00°, 90.00° and 120.00°. The inequivalent atoms are Er at (0.0000, 0.0000, 0.0000), B at (0.6667, 0.3333, 0.5000) and C at (0.3333, 0.6667, 0.5000).

The total energy is -21.6 eV per cell. The size of the total moment is 0.0 μB per formula unit. The calculation puts the formation enthalpy at 0 K at -1.1 eV per formula unit. Its mass density is 10.122 g cm⁻³.